VASP calculation (PBE-GGA) on a relaxed structure of K2NpI8.

Output
SG	C2/m (12)
total DFT energy (no corrections)	-3.350	eV/atom
calculated volume	55.58	Å³ per atom
E_form (uncorrected)	-0.85	eV per atom

Structure (POSCAR):
```
K2NpI8
1.0
-6.641 0.445 -0.123
-2.213 -3.325 8.929
-1.326 8.653 4.364
I K Np
8 2 1
Direct
0.206 0.246 0.917 I
0.744 0.502 0.502 I
0.330 0.823 0.823 I
0.670 0.177 0.177 I
0.794 0.083 0.754 I
0.256 0.498 0.498 I
0.206 0.917 0.246 I
0.794 0.754 0.083 I
0.891 0.714 0.714 K
0.109 0.286 0.286 K
0.000 0.000 0.000 Np
```